The following is a GGA-PBE calculation of a relaxed NdDy4Tl7 crystal, from Alexandria via LeMat-Bulk.

Total moment: 0.000 μB/atom
Crystal system: monoclinic
Calculated total energy: -3.426 eV per atom
Space-group type: No. 12
N(E_F): 7.4 states/eV per cell

a = 7.285 Å, b = 7.285 Å, c = 11.488 Å
α = 120.82°, β = 120.82°, γ = 46.53°
Sites, in units of the cell vectors:
Nd 0.000 0.000 0.000
Dy 0.279 0.279 0.671
Dy 0.414 0.414 0.217
Dy 0.586 0.586 0.783
Dy 0.721 0.721 0.329
Tl 0.079 0.079 0.328
Tl 0.215 0.215 0.895
Tl 0.365 0.365 0.455
Tl 0.500 0.500 0.000
Tl 0.635 0.635 0.545
Tl 0.785 0.785 0.105
Tl 0.921 0.921 0.672

The following is a GGA-PBE calculation of a relaxed Nd4Dy5Tl crystal, from Alexandria via LeMat-Bulk.

Relative energy among the computed polymorphs: 0.000 eV/atom
Total moment: 0.000 μB/atom
Crystal system: tetragonal
Calculated total energy: -4.414 eV per atom
Space-group type: No. 123
N(E_F): 16.2 states/eV per cell

a = 4.170 Å, b = 4.170 Å, c = 18.373 Å
α = 90.00°, β = 90.00°, γ = 90.00°
Sites, in units of the cell vectors:
Nd 0.000 0.000 0.103
Nd 0.000 0.000 0.304
Nd 0.000 0.000 0.696
Nd 0.000 0.000 0.897
Dy 0.500 0.500 0.000
Dy 0.500 0.500 0.208
Dy 0.500 0.500 0.412
Dy 0.500 0.500 0.588
Dy 0.500 0.500 0.792
Tl 0.000 0.000 0.500

The following is a GGA-PBE calculation of a relaxed Nd4Dy15Tl crystal, from Alexandria via LeMat-Bulk.

Total moment: 0.000 μB/atom
Crystal system: tetragonal
Calculated total energy: -4.537 eV per atom
Space-group type: No. 123
N(E_F): 24.1 states/eV per cell

a = 4.999 Å, b = 4.999 Å, c = 25.323 Å
α = 90.00°, β = 90.00°, γ = 90.00°
Sites, in units of the cell vectors:
Nd 0.000 0.000 0.101
Nd 0.000 0.000 0.302
Nd 0.000 0.000 0.698
Nd 0.000 0.000 0.899
Dy 0.000 0.500 0.000
Dy 0.000 0.500 0.202
Dy 0.000 0.500 0.404
Dy 0.000 0.500 0.596
Dy 0.000 0.500 0.798
Dy 0.500 0.000 0.000
Dy 0.500 0.000 0.202
Dy 0.500 0.000 0.404
Dy 0.500 0.000 0.596
Dy 0.500 0.000 0.798
Dy 0.500 0.500 0.102
Dy 0.500 0.500 0.305
Dy 0.500 0.500 0.500
Dy 0.500 0.500 0.695
Dy 0.500 0.500 0.898
Tl 0.000 0.000 0.500

The following is a GGA-PBE calculation of a relaxed Nd4DyTl3 crystal, from Alexandria via LeMat-Bulk.

Relative energy among the computed polymorphs: 0.020 eV/atom
Total moment: 0.214 μB/atom
Crystal system: trigonal
Calculated total energy: -4.086 eV per atom
Space-group type: No. 166
N(E_F): 10.5 states/eV per cell

a = 9.889 Å, b = 9.889 Å, c = 9.889 Å
α = 32.45°, β = 32.45°, γ = 32.45°
Sites, in units of the cell vectors:
Nd 0.114 0.114 0.114
Nd 0.369 0.369 0.369
Nd 0.631 0.631 0.631
Nd 0.886 0.886 0.886
Dy 0.500 0.500 0.500
Tl 0.000 0.000 0.000
Tl 0.235 0.235 0.235
Tl 0.765 0.765 0.765

The following is a GGA-PBE calculation of a relaxed Nd3Dy2Tl4 crystal, from Alexandria via LeMat-Bulk.

Relative energy among the computed polymorphs: 0.120 eV/atom
Total moment: 0.000 μB/atom
Crystal system: orthorhombic
Calculated total energy: -3.848 eV per atom
Space-group type: No. 64
N(E_F): 12.1 states/eV per cell

a = 8.624 Å, b = 8.624 Å, c = 9.961 Å
α = 90.00°, β = 90.00°, γ = 129.36°
Sites, in units of the cell vectors:
Nd 0.000 0.000 0.000
Nd 0.033 0.467 0.250
Nd 0.467 0.033 0.750
Nd 0.500 0.500 0.500
Nd 0.533 0.967 0.250
Nd 0.967 0.533 0.750
Dy 0.105 0.895 0.449
Dy 0.395 0.605 0.949
Dy 0.605 0.395 0.051
Dy 0.895 0.105 0.551
Tl 0.198 0.802 0.022
Tl 0.244 0.256 0.250
Tl 0.256 0.244 0.750
Tl 0.302 0.698 0.522
Tl 0.698 0.302 0.478
Tl 0.744 0.756 0.250
Tl 0.756 0.744 0.750
Tl 0.802 0.198 0.978

The following is a GGA-PBE calculation of a relaxed Nd6DyTl5 crystal, from Alexandria via LeMat-Bulk.

Relative energy among the computed polymorphs: 0.000 eV/atom
Total moment: 0.000 μB/atom
Crystal system: orthorhombic
Calculated total energy: -4.054 eV per atom
Space-group type: No. 71
N(E_F): 12.9 states/eV per cell

a = 9.361 Å, b = 9.361 Å, c = 9.361 Å
α = 148.33°, β = 121.66°, γ = 67.92°
Sites, in units of the cell vectors:
Nd 0.068 0.329 0.739
Nd 0.233 0.000 0.233
Nd 0.410 0.671 0.739
Nd 0.590 0.329 0.261
Nd 0.767 0.000 0.767
Nd 0.932 0.671 0.261
Dy 0.500 0.500 0.000
Tl 0.000 0.500 0.500
Tl 0.174 0.174 0.000
Tl 0.351 0.851 0.500
Tl 0.649 0.149 0.500
Tl 0.826 0.826 0.000

The following is a GGA-PBE calculation of a relaxed Nd4DyTl crystal, from Alexandria via LeMat-Bulk.

Relative energy among the computed polymorphs: 0.079 eV/atom
Total moment: 0.000 μB/atom
Crystal system: monoclinic
Calculated total energy: -4.363 eV per atom
Space-group type: No. 15
N(E_F): 15.6 states/eV per cell

a = 8.490 Å, b = 8.490 Å, c = 6.614 Å
α = 100.24°, β = 100.24°, γ = 116.16°
Sites, in units of the cell vectors:
Nd 0.093 0.713 0.955
Nd 0.168 0.406 0.623
Nd 0.287 0.907 0.545
Nd 0.406 0.168 0.123
Nd 0.594 0.832 0.877
Nd 0.713 0.093 0.455
Nd 0.832 0.594 0.377
Nd 0.907 0.287 0.045
Dy 0.411 0.589 0.250
Dy 0.589 0.411 0.750
Tl 0.001 0.999 0.250
Tl 0.999 0.001 0.750

The following is a GGA-PBE calculation of a relaxed Nd8Dy6Tl crystal, from Alexandria via LeMat-Bulk.

Total moment: 0.000 μB/atom
Crystal system: trigonal
Calculated total energy: -4.456 eV per atom
Space-group type: No. 147
N(E_F): 21.2 states/eV per cell

a = 9.396 Å, b = 9.396 Å, c = 6.562 Å
α = 90.00°, β = 90.00°, γ = 120.00°
Sites, in units of the cell vectors:
Nd 0.042 0.769 0.180
Nd 0.231 0.273 0.180
Nd 0.273 0.042 0.820
Nd 0.333 0.667 0.145
Nd 0.667 0.333 0.855
Nd 0.727 0.958 0.180
Nd 0.769 0.727 0.820
Nd 0.958 0.231 0.820
Dy 0.098 0.649 0.666
Dy 0.351 0.449 0.666
Dy 0.449 0.098 0.334
Dy 0.551 0.902 0.666
Dy 0.649 0.551 0.334
Dy 0.902 0.351 0.334
Tl 0.000 0.000 0.500

The following is a GGA-PBE calculation of a relaxed Nd5Dy2Tl4 crystal, from Alexandria via LeMat-Bulk.

Total moment: 0.000 μB/atom
Crystal system: monoclinic
Calculated total energy: -4.026 eV per atom
Space-group type: No. 12
N(E_F): 12.5 states/eV per cell

a = 17.597 Å, b = 17.597 Å, c = 5.353 Å
α = 92.33°, β = 92.33°, γ = 12.14°
Sites, in units of the cell vectors:
Nd 0.000 0.000 0.000
Nd 0.125 0.125 0.536
Nd 0.305 0.305 0.926
Nd 0.695 0.695 0.074
Nd 0.875 0.875 0.464
Dy 0.408 0.408 0.974
Dy 0.592 0.592 0.026
Tl 0.218 0.218 0.598
Tl 0.457 0.457 0.488
Tl 0.543 0.543 0.512
Tl 0.782 0.782 0.402

The following is a GGA-PBE calculation of a relaxed Nd3Dy4Tl4 crystal, from Alexandria via LeMat-Bulk.

Total moment: 0.161 μB/atom
Crystal system: orthorhombic
Calculated total energy: -4.071 eV per atom
Space-group type: No. 71
N(E_F): 11.3 states/eV per cell

a = 10.530 Å, b = 10.530 Å, c = 10.530 Å
α = 159.02°, β = 124.43°, γ = 60.06°
Sites, in units of the cell vectors:
Nd 0.000 0.000 0.000
Nd 0.398 0.898 0.500
Nd 0.602 0.102 0.500
Dy 0.033 0.333 0.700
Dy 0.368 0.667 0.700
Dy 0.632 0.333 0.300
Dy 0.967 0.667 0.300
Tl 0.254 0.254 0.000
Tl 0.279 0.500 0.779
Tl 0.721 0.500 0.221
Tl 0.746 0.746 0.000

The following is a GGA-PBE calculation of a relaxed NdDy2Tl9 crystal, from Alexandria via LeMat-Bulk.

Total moment: 0.000 μB/atom
Crystal system: tetragonal
Calculated total energy: -3.201 eV per atom
Space-group type: No. 123
N(E_F): 3.5 states/eV per cell

a = 4.790 Å, b = 4.790 Å, c = 14.369 Å
α = 90.00°, β = 90.00°, γ = 90.00°
Sites, in units of the cell vectors:
Nd 0.000 0.000 0.000
Dy 0.000 0.000 0.335
Dy 0.000 0.000 0.665
Tl 0.000 0.500 0.170
Tl 0.000 0.500 0.500
Tl 0.000 0.500 0.830
Tl 0.500 0.000 0.170
Tl 0.500 0.000 0.500
Tl 0.500 0.000 0.830
Tl 0.500 0.500 0.000
Tl 0.500 0.500 0.334
Tl 0.500 0.500 0.666

The following is a GGA-PBE calculation of a relaxed Nd2Dy5Tl crystal, from Alexandria via LeMat-Bulk.

Relative energy among the computed polymorphs: 0.000 eV/atom
Total moment: 0.000 μB/atom
Crystal system: tetragonal
Calculated total energy: -4.427 eV per atom
Space-group type: No. 139
N(E_F): 10.6 states/eV per cell

a = 10.800 Å, b = 10.800 Å, c = 10.800 Å
α = 153.64°, β = 153.64°, γ = 37.63°
Sites, in units of the cell vectors:
Nd 0.245 0.245 0.000
Nd 0.755 0.755 0.000
Dy 0.000 0.000 0.000
Dy 0.120 0.620 0.500
Dy 0.380 0.880 0.500
Dy 0.620 0.120 0.500
Dy 0.880 0.380 0.500
Tl 0.500 0.500 0.000

- What is the formula in the eighth record?
  Nd8Dy6Tl

- The highest total moment belongs to which entry?
  Nd4DyTl3

- The highest calculated total energy belongs to which entry?
  NdDy2Tl9